This record from Alexandria via LeMat-Bulk describes an optimized crystal structure of Sr2ScTe. The functional is PBE-GGA.

The structure in POSCAR format:
```
Sr2ScTe
1.0
5.688 0.000 0.000
0.000 5.688 0.000
0.000 0.000 4.266
Sr Sc Te
2 1 1
Cartesian
0.000 2.844 0.000
2.844 0.000 0.000
0.000 0.000 2.133
2.844 2.844 2.133
```

Calculated values
As for the space-group type: P4/mmm. Its uncorrected formation energy is -1.32 eV/f.u.


This record from Alexandria via LeMat-Bulk describes an optimized crystal structure of ZrIn2HgBr6. The functional is PBE-GGA.

The structure in POSCAR format:
```
ZrIn2HgBr6
1.0
7.924 0.000 0.000
-3.962 6.908 0.000
-3.957 -2.298 7.557
Zr In Hg Br
1 2 1 6
Cartesian
0.000 0.000 0.000
0.015 4.606 3.538
3.963 2.314 0.249
3.963 2.312 3.747
-5.788 4.922 5.947
-2.676 5.147 1.473
0.873 2.006 1.464
-0.784 2.611 5.941
2.638 -0.614 5.932
5.744 -0.232 1.458
```

Calculated values
As for the space-group type: P1. Its uncorrected formation energy is -9.56 eV/f.u.


This record from Alexandria via LeMat-Bulk describes an optimized crystal structure of LaGe2Os. The functional is PBE-GGA.

The structure in POSCAR format:
```
LaGe2Os
1.0
0.000 3.364 3.364
3.364 0.000 3.364
3.364 3.364 0.000
La Ge Os
1 2 1
Cartesian
0.000 0.000 0.000
1.682 1.682 1.682
5.045 5.045 5.045
3.364 3.364 3.364
```

Calculated values
As for the space-group type: Fm-3m. As for the energy of formation: -2.93 kcal/mol of atoms.


This record from Alexandria via LeMat-Bulk describes an optimized crystal structure of Tb6Pr3Dy2Th. The functional is PBE-GGA.

The structure in POSCAR format:
```
Tb6Pr3Dy2Th
1.0
3.120 -5.399 0.000
3.120 5.399 0.000
-2.079 0.000 11.728
Tb Pr Dy Th
6 3 2 1
Cartesian
1.031 1.781 2.875
-0.023 0.000 8.851
1.031 -1.781 2.875
3.129 1.781 8.853
4.184 0.000 2.877
3.129 -1.781 8.853
2.080 3.596 5.864
2.080 0.000 5.864
2.080 -3.596 5.864
3.120 1.800 0.000
3.120 -1.800 0.000
0.000 0.000 0.000
```

Calculated values
As for the space-group type: C2/m. As for the energy of formation: 0.49 kcal/mol of atoms.


This record from Alexandria via LeMat-Bulk describes an optimized crystal structure of YMnBe17. The functional is PBE-GGA.

The structure in POSCAR format:
```
YMnBe17
1.0
3.756 2.169 3.635
-3.756 2.169 3.635
0.000 -4.337 3.635
Y Mn Be
1 1 17
Cartesian
0.000 0.000 0.000
0.000 0.000 3.598
0.000 -2.125 1.850
-1.840 1.063 1.850
-1.901 -1.098 5.370
0.000 -2.088 5.222
-1.808 1.044 5.222
-1.056 -1.916 7.178
-2.188 0.043 7.178
1.840 1.063 1.850
0.000 0.000 6.065
1.056 -1.916 7.178
-1.131 1.873 7.178
1.901 -1.098 5.370
0.000 2.195 5.370
0.000 0.000 8.192
1.808 1.044 5.222
2.188 0.043 7.178
1.131 1.873 7.178
```

Calculated values
As for the space-group type: R3m. As for the energy of formation: -1.57 kcal/mol of atoms.


This record from Alexandria via LeMat-Bulk describes an optimized crystal structure of CaMg2Re. The functional is PBE-GGA.

The structure in POSCAR format:
```
CaMg2Re
1.0
3.430 0.000 0.000
0.000 3.430 0.000
0.000 0.000 7.240
Ca Mg Re
1 2 1
Cartesian
0.000 0.000 0.000
1.715 1.715 2.229
1.715 1.715 5.011
0.000 0.000 3.620
```

Calculated values
The calculation puts the distance to the lowest polymorph of the same formula at 63 meV/atom. As for the space-group type: P4/mmm. As for the energy of formation: 10.89 kcal/mol of atoms.


This record from Alexandria via LeMat-Bulk describes an optimized crystal structure of MgH3Ir3. The functional is PBE-GGA.

The structure in POSCAR format:
```
MgH3Ir3
1.0
4.977 0.000 0.000
0.000 2.920 0.000
-1.562 0.000 4.782
Mg H Ir
1 3 3
Cartesian
0.000 0.000 0.000
-0.197 0.000 3.094
0.733 1.460 1.625
1.580 0.000 4.067
2.457 1.460 0.056
1.762 0.000 2.278
4.077 1.460 2.344
```

Calculated values
The calculation puts the distance to the lowest polymorph of the same formula at 65 meV/atom. As for the space-group type: Pm.


This record from Alexandria via LeMat-Bulk describes an optimized crystal structure of ErScGePt. The functional is PBE-GGA.

The structure in POSCAR format:
```
ErScGePt
1.0
4.170 0.000 0.000
0.000 1.876 5.308
0.000 -1.876 5.308
Er Sc Ge Pt
1 1 1 1
Cartesian
0.000 0.000 0.000
2.085 0.000 7.613
0.000 0.000 2.887
2.085 0.000 4.679
```

Calculated values
The calculation puts the distance to the lowest polymorph of the same formula at 0 meV/atom. As for the space-group type: Amm2. As for the energy of formation: -24.42 kcal/mol of atoms.


This record from Alexandria via LeMat-Bulk describes an optimized crystal structure of InSiTc2. The functional is PBE-GGA.

The structure in POSCAR format:
```
InSiTc2
1.0
3.096 0.000 0.000
0.000 4.248 0.000
0.000 0.000 4.866
In Si Tc
1 1 2
Cartesian
0.000 0.000 0.000
1.548 0.000 2.433
0.000 2.124 2.433
1.548 2.124 0.000
```

Calculated values
The calculation puts the distance to the lowest polymorph of the same formula at 445 meV/atom. As for the space-group type: Pmmm. Its uncorrected formation energy is 1.43 eV/f.u.


This record from Alexandria via LeMat-Bulk describes an optimized crystal structure of Li4Ca2B16H14O35. The functional is PBE-GGA.

The structure in POSCAR format:
```
Li4Ca2B16H14O35
1.0
10.100 -3.405 0.000
10.100 3.405 0.000
-1.448 0.000 20.123
Li Ca B H O
8 4 32 28 70
Cartesian
8.265 3.016 13.296
9.763 3.016 16.888
5.302 0.572 15.518
6.026 -0.572 5.457
12.726 0.572 14.666
13.450 -0.572 4.605
8.989 -3.016 3.235
10.487 -3.016 6.826
4.582 0.783 1.870
3.859 -0.783 11.931
14.893 0.783 8.192
14.169 -0.783 18.253
3.280 1.160 13.994
2.270 0.832 16.239
1.919 0.315 4.207
1.649 0.540 18.759
5.857 1.558 10.411
1.195 -0.315 14.268
9.174 1.708 0.947
5.889 0.750 8.103
2.373 -0.540 8.698
5.666 0.816 20.030
2.993 -0.832 6.178
10.302 1.708 9.114
4.004 -1.160 3.932
5.165 -0.750 18.164
12.171 1.558 19.773
6.389 -0.816 9.968
12.362 0.816 10.154
6.581 -1.558 0.349
13.587 0.750 1.958
14.748 1.160 16.190
8.450 -1.708 11.008
15.758 0.832 13.944
13.086 -0.816 0.093
16.379 0.540 11.425
12.863 -0.750 12.020
9.578 -1.708 19.176
17.556 0.315 5.854
12.895 -1.558 9.712
17.103 -0.540 1.364
16.833 -0.315 15.916
16.482 -0.832 3.883
15.472 -1.160 6.129
8.427 2.611 7.320
5.167 1.517 13.108
11.049 2.611 2.742
7.587 1.348 16.554
9.170 1.535 5.544
10.305 1.535 4.517
8.582 0.778 9.300
8.171 0.605 12.334
10.441 1.348 13.630
8.489 0.346 13.858
10.894 0.778 0.761
9.857 0.605 17.850
12.861 1.517 17.076
9.539 0.346 16.326
9.213 -0.346 3.796
5.891 -1.517 3.047
8.895 -0.605 2.272
7.858 -0.778 19.361
10.263 -0.346 6.265
8.311 -1.348 6.492
10.581 -0.605 7.789
10.170 -0.778 10.823
8.447 -1.535 15.605
9.581 -1.535 14.579
11.165 -1.348 3.569
7.703 -2.611 17.381
13.585 -1.517 7.015
10.325 -2.611 12.803
8.645 3.042 6.462
6.544 2.120 0.196
2.375 1.107 17.584
3.288 1.348 15.457
8.480 2.729 1.557
2.713 0.889 8.765
5.811 1.824 9.023
10.830 3.042 3.599
1.235 0.098 15.725
1.959 -0.098 5.663
6.885 1.628 15.934
2.440 0.054 13.589
4.683 0.808 13.580
5.761 0.947 6.760
10.996 2.729 8.504
3.164 -0.054 3.528
8.946 1.587 8.863
5.375 0.531 18.605
5.763 0.242 10.821
10.530 1.587 1.198
1.989 -0.889 18.826
8.571 0.764 0.142
8.535 1.027 13.133
3.099 -1.107 7.523
6.487 -0.242 0.760
11.143 1.628 14.250
12.932 2.120 9.865
9.738 0.897 5.031
9.493 1.027 17.051
5.406 -0.808 3.518
6.098 -0.531 8.544
13.665 1.824 1.039
4.012 -1.348 5.395
5.037 -0.947 16.821
10.904 0.764 9.919
7.848 -0.764 10.203
13.715 0.947 3.301
14.740 1.348 14.727
5.087 -1.824 19.084
12.653 0.531 11.578
13.345 0.808 16.604
9.259 -1.027 3.071
9.014 -0.897 15.092
5.820 -2.120 10.258
7.609 -1.628 5.873
12.265 0.242 19.363
15.653 1.107 12.600
10.217 -1.027 6.990
10.180 -0.764 19.981
16.763 0.889 1.296
8.222 -1.587 18.924
12.989 -0.242 9.301
13.377 -0.531 1.517
9.806 -1.587 11.259
15.588 0.054 16.595
7.756 -2.729 11.618
12.991 -0.947 13.362
14.069 -0.808 6.543
16.312 -0.054 6.534
11.867 -1.628 4.189
16.793 0.098 14.459
17.517 -0.098 4.398
7.921 -3.042 16.524
12.941 -1.824 11.100
16.039 -0.889 11.358
10.272 -2.729 18.566
15.464 -1.348 4.666
16.377 -1.107 2.539
12.208 -2.120 19.926
10.107 -3.042 13.660
```

Calculated values
As for the space-group type: C2/c.


This record from Alexandria via LeMat-Bulk describes an optimized crystal structure of Pm5Sb2O2. The functional is PBE-GGA.

The structure in POSCAR format:
```
Pm5Sb2O2
1.0
-9.059 3.930 3.278
9.059 -3.930 3.278
9.059 3.930 -3.278
Pm Sb O
10 4 4
Cartesian
4.529 2.653 -1.043
0.404 1.954 0.000
8.654 1.954 0.000
4.529 1.277 2.234
-2.494 3.467 1.627
2.494 -0.463 4.905
0.404 1.976 3.278
8.654 1.976 3.278
2.494 4.393 1.627
6.565 4.393 1.627
2.003 -0.392 1.624
7.056 -0.392 1.624
7.056 4.322 -1.654
11.061 0.392 1.624
4.529 3.380 1.215
0.000 3.930 1.620
0.000 0.000 4.898
4.529 0.550 4.492
```

Calculated values
As for the space-group type: Ima2. Its uncorrected formation energy is -15.03 eV/f.u.


This record from Alexandria via LeMat-Bulk describes an optimized crystal structure of Ta2BeAu. The functional is PBE-GGA.

The structure in POSCAR format:
```
Ta2BeAu
1.0
-1.888 1.888 9.769
1.888 -1.888 9.769
1.888 1.888 -9.769
Ta Be Au
4 2 2
Cartesian
2.832 0.912 -2.442
0.912 0.944 2.442
-0.944 0.976 7.327
0.976 0.944 12.211
0.000 0.000 0.000
0.000 1.888 4.884
1.888 0.000 4.884
0.000 0.000 9.769
```

Calculated values
As for the space-group type: I-42d. As for the energy of formation: 13.78 kcal/mol of atoms.


This record from Alexandria via LeMat-Bulk describes an optimized crystal structure of Ac2PI2. The functional is PBE-GGA.

The structure in POSCAR format:
```
Ac2PI2
1.0
2.251 1.300 11.930
-2.251 1.300 11.930
0.000 -2.599 11.930
Ac P I
2 1 2
Cartesian
0.000 0.000 4.298
0.000 0.000 31.493
0.000 0.000 17.895
0.000 0.000 9.828
0.000 0.000 25.963
```

Calculated values
As for the space-group type: R-3m. Its uncorrected formation energy is -7.66 eV/f.u.


This record from Alexandria via LeMat-Bulk describes an optimized crystal structure of LaBePd2Cl. The functional is PBE-GGA.

The structure in POSCAR format:
```
LaBePd2Cl
1.0
4.340 0.000 0.000
0.000 4.340 0.000
0.000 0.000 5.112
La Be Pd Cl
1 1 2 1
Cartesian
0.000 0.000 0.000
2.170 2.170 2.556
0.000 2.170 2.556
2.170 0.000 2.556
2.170 2.170 0.000
```

Calculated values
As for the space-group type: P4/mmm. Its uncorrected formation energy is -3.22 eV/f.u.


This record from Alexandria via LeMat-Bulk describes an optimized crystal structure of PuGa2Au4. The functional is PBE-GGA.

The structure in POSCAR format:
```
PuGa2Au4
1.0
8.567 0.000 0.000
0.000 8.567 0.000
0.000 0.000 3.775
Pu Ga Au
2 4 8
Cartesian
0.000 0.000 0.000
4.283 4.283 1.887
1.880 1.880 1.887
2.403 6.164 0.000
6.164 2.403 0.000
6.686 6.686 1.887
0.569 5.875 1.887
1.592 3.714 0.000
2.692 7.997 1.887
3.714 1.592 0.000
4.853 6.975 0.000
5.875 0.569 1.887
6.975 4.853 0.000
7.997 2.692 1.887
```

Calculated values
The calculation puts the distance to the lowest polymorph of the same formula at 0 meV/atom. As for the space-group type: P4_2/mnm. As for the energy of formation: -7.39 kcal/mol of atoms.


This record from Alexandria via LeMat-Bulk describes an optimized crystal structure of MnAgAu2. The functional is PBE-GGA.

The structure in POSCAR format:
```
MnAgAu2
1.0
1.480 0.855 9.165
-1.480 0.855 9.165
0.000 -1.709 9.165
Mn Ag Au
1 1 2
Cartesian
0.000 0.000 0.000
0.000 0.000 4.588
0.000 0.000 11.318
0.000 0.000 16.180
```

Calculated values
As for the space-group type: R3m. As for the energy of formation: 1.09 kcal/mol of atoms.


This record from Alexandria via LeMat-Bulk describes an optimized crystal structure of Tb2HoErSe6. The functional is PBE-GGA.

The structure in POSCAR format:
```
Tb2HoErSe6
1.0
3.599 2.078 6.476
-3.599 2.078 6.476
0.000 -4.156 6.476
Tb Ho Er Se
2 1 1 6
Cartesian
0.000 0.000 0.000
0.000 0.000 9.713
0.000 0.000 3.810
0.000 0.000 13.521
-2.534 0.155 8.404
-1.064 -1.915 11.648
1.132 -2.272 8.404
-1.126 1.879 11.648
1.401 2.117 8.404
2.190 0.036 11.648
```

Calculated values
As for the space-group type: R3. Its uncorrected formation energy is -18.51 eV/f.u.


This record from Alexandria via LeMat-Bulk describes an optimized crystal structure of AlZn2Cd. The functional is PBE-GGA.

The structure in POSCAR format:
```
AlZn2Cd
1.0
2.916 0.000 0.000
0.000 4.072 0.000
0.000 0.000 5.924
Al Zn Cd
1 2 1
Cartesian
0.000 0.000 0.000
0.000 0.000 3.218
1.458 2.036 4.588
1.458 2.036 1.660
```

Calculated values
The calculation puts the distance to the lowest polymorph of the same formula at 23 meV/atom. As for the space-group type: Pmm2. As for the energy of formation: 1.89 kcal/mol of atoms.


| no. | raw total energy (eV per cell) | total magnetic moment (Bohr magnetons per cell) |
| --- | --- | --- |
| 1 | -14.16 | 0.00 |
| 2 | -33.92 | 0.00 |
| 3 | -25.90 | 0.00 |
| 4 | -58.49 | 0.00 |
| 5 | -80.27 | 2.71 |
| 6 | -15.75 | 0.00 |
| 7 | -37.99 | 0.00 |
| 8 | -25.79 | 0.00 |
| 9 | -27.46 | 0.21 |
| 10 | -975.29 | 0.00 |
| 11 | -113.89 | 0.00 |
| 12 | -56.64 | 0.00 |
| 13 | -24.39 | 0.00 |
| 14 | -24.11 | 0.00 |
| 15 | -71.48 | 11.41 |
| 16 | -18.39 | 4.10 |
| 17 | -57.82 | 0.00 |
| 18 | -6.88 | 0.00 |